No. 1
Compound: Li2Co3NiO8
Source: Alexandria
Functional: PBE+U
Structure: relaxed

```
data_Li2Co3NiO8
_chemical_formula_sum 'Li2 Co3 Ni1 O8'
_cell_length_a 5.660
_cell_length_b 5.745
_cell_length_c 5.932
_cell_angle_alpha 61.04
_cell_angle_beta 89.55
_cell_angle_gamma 120.50
_symmetry_space_group_name_H-M 'P 1'
_symmetry_Int_Tables_number 1
loop_
_symmetry_equiv_pos_as_xyz
'x,y,z'
loop_
_atom_site_label
_atom_site_type_symbol
_atom_site_fract_x
_atom_site_fract_y
_atom_site_fract_z
O1 O 0.270 0.535 0.200
O2 O 0.269 0.037 0.195
O3 O 0.745 0.029 0.210
O4 O 0.745 0.507 0.210
O5 O 0.255 0.493 0.790
O6 O 0.731 0.963 0.805
O7 O 0.255 0.971 0.790
O8 O 0.730 0.465 0.800
Ni1 Ni 0.000 0.000 0.000
Co1 Co 0.000 0.500 0.000
Co2 Co 0.500 0.000 0.000
Co3 Co 0.500 0.500 0.000
Li1 Li 0.500 0.500 0.500
Li2 Li 0.500 0.000 0.500
```

E above lowest polymorph: 0.38 eV per formula unit
Fermi-level density of states: 1.021 states/eV per cell


No. 2
Compound: Li5Co3Ni2O10
Source: Alexandria
Functional: PBE+U
Structure: relaxed

```
data_Li5Co3Ni2O10
_chemical_formula_sum 'Li10 Co6 Ni4 O20'
_cell_length_a 4.965
_cell_length_b 10.112
_cell_length_c 7.616
_cell_angle_alpha 107.60
_cell_angle_beta 103.89
_cell_angle_gamma 99.56
_symmetry_space_group_name_H-M 'P 1'
_symmetry_Int_Tables_number 1
loop_
_symmetry_equiv_pos_as_xyz
'x,y,z'
loop_
_atom_site_label
_atom_site_type_symbol
_atom_site_fract_x
_atom_site_fract_y
_atom_site_fract_z
O1 O 0.965 0.443 0.131
O2 O 0.223 0.727 0.228
O3 O 0.352 0.365 0.944
O4 O 0.777 0.773 0.772
O5 O 0.352 0.865 0.944
O6 O 0.133 0.153 0.540
O7 O 0.648 0.635 0.056
O8 O 0.648 0.135 0.056
O9 O 0.556 0.050 0.332
O10 O 0.445 0.950 0.668
O11 O 0.444 0.450 0.668
O12 O 0.223 0.227 0.228
O13 O 0.555 0.550 0.332
O14 O 0.777 0.273 0.772
O15 O 0.035 0.557 0.869
O16 O 0.965 0.943 0.131
O17 O 0.867 0.847 0.460
O18 O 0.867 0.347 0.460
O19 O 0.035 0.057 0.869
O20 O 0.133 0.653 0.540
Ni1 Ni 0.895 0.150 0.306
Ni2 Ni 0.895 0.650 0.306
Ni3 Ni 0.105 0.350 0.694
Ni4 Ni 0.105 0.850 0.694
Li1 Li 0.207 0.461 0.417
Li2 Li 0.500 0.250 0.500
Li3 Li 0.611 0.354 0.220
Li4 Li 0.389 0.646 0.780
Li5 Li 0.611 0.854 0.220
Li6 Li 0.207 0.961 0.417
Li7 Li 0.793 0.039 0.583
Li8 Li 0.389 0.146 0.780
Li9 Li 0.793 0.539 0.583
Li10 Li 0.500 0.750 0.500
Co1 Co 0.700 0.952 0.901
Co2 Co 0.300 0.548 0.099
Co3 Co 0.700 0.452 0.901
Co4 Co 0.000 0.750 0.000
Co5 Co 0.300 0.048 0.099
Co6 Co 0.000 0.250 0.000
```

E above lowest polymorph: 0.00 eV per formula unit
Fermi-level density of states: 0.364 states/eV per cell


No. 3
Compound: Li10Co3Ni7O20
Source: Alexandria
Functional: PBE+U
Structure: relaxed

```
data_Li10Co3Ni7O20
_chemical_formula_sum 'Li10 Co3 Ni7 O20'
_cell_length_a 2.856
_cell_length_b 11.418
_cell_length_c 11.585
_cell_angle_alpha 112.08
_cell_angle_beta 90.00
_cell_angle_gamma 97.19
_symmetry_space_group_name_H-M 'P 1'
_symmetry_Int_Tables_number 1
loop_
_symmetry_equiv_pos_as_xyz
'x,y,z'
loop_
_atom_site_label
_atom_site_type_symbol
_atom_site_fract_x
_atom_site_fract_y
_atom_site_fract_z
O1 O 0.600 0.200 0.089
O2 O 0.201 0.400 0.523
O3 O 0.401 0.802 0.691
O4 O 0.998 0.995 0.608
O5 O 0.990 0.980 0.873
O6 O 0.800 0.600 0.989
O7 O 0.200 0.400 0.011
O8 O 0.599 0.198 0.309
O9 O 0.190 0.379 0.273
O10 O 0.410 0.820 0.423
O11 O 0.810 0.621 0.727
O12 O 0.401 0.804 0.182
O13 O 0.010 0.020 0.127
O14 O 0.799 0.600 0.477
O15 O 0.200 0.398 0.786
O16 O 0.590 0.180 0.577
O17 O 0.599 0.196 0.818
O18 O 0.800 0.602 0.214
O19 O 0.002 0.005 0.392
O20 O 0.400 0.800 0.911
Li1 Li 0.701 0.401 0.650
Li2 Li 0.500 0.999 0.752
Li3 Li 0.897 0.797 0.052
Li4 Li 0.700 0.399 0.149
Li5 Li 0.500 0.001 0.248
Li6 Li 0.299 0.599 0.350
Li7 Li 0.300 0.601 0.851
Li8 Li 0.103 0.203 0.948
Li9 Li 0.102 0.203 0.454
Li10 Li 0.898 0.797 0.546
Co1 Co 0.500 0.000 0.500
Co2 Co 0.100 0.200 0.200
Co3 Co 0.900 0.800 0.800
Ni1 Ni 0.098 0.195 0.702
Ni2 Ni 0.500 0.000 0.000
Ni3 Ni 0.300 0.602 0.101
Ni4 Ni 0.300 0.601 0.598
Ni5 Ni 0.700 0.398 0.899
Ni6 Ni 0.902 0.805 0.298
Ni7 Ni 0.700 0.399 0.402
```

Fermi-level density of states: 5.611 states/eV per cell


No. 4
Compound: Li4CoNi5O12
Source: Alexandria
Functional: PBE+U
Structure: relaxed

```
data_Li4CoNi5O12
_chemical_formula_sum 'Li4 Co1 Ni5 O12'
_cell_length_a 4.900
_cell_length_b 4.900
_cell_length_c 10.006
_cell_angle_alpha 84.71
_cell_angle_beta 84.71
_cell_angle_gamma 118.60
_symmetry_space_group_name_H-M 'P 1'
_symmetry_Int_Tables_number 1
loop_
_symmetry_equiv_pos_as_xyz
'x,y,z'
loop_
_atom_site_label
_atom_site_type_symbol
_atom_site_fract_x
_atom_site_fract_y
_atom_site_fract_z
Li1 Li 0.254 0.918 0.245
Li2 Li 0.917 0.255 0.245
Li3 Li 0.745 0.083 0.755
Li4 Li 0.082 0.746 0.755
O1 O 0.896 0.897 0.395
O2 O 0.988 0.655 0.106
O3 O 0.345 0.012 0.894
O4 O 0.465 0.824 0.605
O5 O 0.288 0.289 0.101
O6 O 0.011 0.346 0.894
O7 O 0.823 0.466 0.605
O8 O 0.176 0.535 0.395
O9 O 0.534 0.177 0.395
O10 O 0.711 0.712 0.899
O11 O 0.654 0.989 0.106
O12 O 0.103 0.104 0.605
Ni1 Ni 0.833 0.167 0.500
Ni2 Ni 0.500 0.500 0.500
Ni3 Ni 0.665 0.335 0.000
Ni4 Ni 0.335 0.665 0.000
Ni5 Ni 0.166 0.834 0.500
Co1 Co 0.000 0.000 0.000
```


No. 5
Compound: Li2Co3NiO8
Source: Alexandria
Functional: PBE+U
Structure: relaxed

```
data_Li2Co3NiO8
_chemical_formula_sum 'Li2 Co3 Ni1 O8'
_cell_length_a 5.803
_cell_length_b 5.803
_cell_length_c 5.947
_cell_angle_alpha 59.76
_cell_angle_beta 59.76
_cell_angle_gamma 58.26
_symmetry_space_group_name_H-M 'P 1'
_symmetry_Int_Tables_number 1
loop_
_symmetry_equiv_pos_as_xyz
'x,y,z'
loop_
_atom_site_label
_atom_site_type_symbol
_atom_site_fract_x
_atom_site_fract_y
_atom_site_fract_z
O1 O 0.254 0.754 0.788
O2 O 0.746 0.246 0.212
O3 O 0.273 0.273 0.194
O4 O 0.246 0.746 0.212
O5 O 0.754 0.254 0.788
O6 O 0.774 0.774 0.199
O7 O 0.226 0.226 0.801
O8 O 0.727 0.727 0.806
Co1 Co 0.500 0.000 0.000
Co2 Co 0.500 0.500 0.000
Co3 Co 0.000 0.500 0.000
Ni1 Ni 0.000 0.000 0.000
Li1 Li 0.000 0.500 0.500
Li2 Li 0.500 0.000 0.500
```

E above lowest polymorph: 1.09 eV per formula unit
Fermi-level density of states: 1.010 states/eV per cell


No. 6
Compound: LiCo2NiO6
Source: Alexandria
Functional: PBE+U
Structure: relaxed

```
data_LiCo2NiO6
_chemical_formula_sum 'Li1 Co2 Ni1 O6'
_cell_length_a 2.867
_cell_length_b 5.863
_cell_length_c 6.537
_cell_angle_alpha 73.99
_cell_angle_beta 77.32
_cell_angle_gamma 88.01
_symmetry_space_group_name_H-M 'P 1'
_symmetry_Int_Tables_number 1
loop_
_symmetry_equiv_pos_as_xyz
'x,y,z'
loop_
_atom_site_label
_atom_site_type_symbol
_atom_site_fract_x
_atom_site_fract_y
_atom_site_fract_z
O1 O 0.051 0.245 0.466
O2 O 0.318 0.886 0.812
O3 O 0.674 0.548 0.147
O4 O 0.326 0.452 0.853
O5 O 0.682 0.114 0.188
O6 O 0.949 0.755 0.534
Co1 Co 0.818 0.672 0.838
Co2 Co 0.182 0.328 0.162
Li1 Li 0.500 0.500 0.500
Ni1 Ni 0.500 0.000 0.500
```


| no. | energy (eV/atom) |
| --- | --- |
| 1 | -5.48 |
| 2 | -5.30 |
| 3 | -5.12 |
| 4 | -4.95 |
| 5 | -5.43 |
| 6 | -5.38 |